! Cr2IrRh5, relaxed, DFT PBE; values from VASP
&SYSTEM
  ibrav = 0, nat = 16, ntyp = 3
/
ATOMIC_SPECIES
Cr 52.00 Cr.upf
Ir 192.22 Ir.upf
Rh 102.91 Rh.upf
ATOMIC_POSITIONS crystal
Cr 0.5000 0.2464 0.6241
Cr 0.5000 0.7536 0.3759
Cr 0.5000 0.2536 0.1241
Cr 0.5000 0.7464 0.8759
Ir 0.0000 0.0000 0.5000
Ir 0.0000 0.5000 0.0000
Rh 0.0000 0.0000 0.0000
Rh 0.0000 0.5000 0.5000
Rh 0.0000 0.5000 0.7510
Rh 0.0000 0.5000 0.2490
Rh 0.0000 0.0000 0.2510
Rh 0.0000 0.0000 0.7490
Rh 0.5000 0.2499 0.8753
Rh 0.5000 0.7501 0.1247
Rh 0.5000 0.2501 0.3753
Rh 0.5000 0.7499 0.6247
CELL_PARAMETERS angstrom
-1.2301 0.9184 3.4849
1.7898 -4.7100 1.8731
9.5253 4.4864 2.1798
! Offset from the most stable computed form: 0.0 meV/atom
! ΔH_f (0 K): -0.147 eV/atom

---

! CsGeP, relaxed, DFT PBE; values from VASP
&SYSTEM
  ibrav = 0, nat = 6, ntyp = 3
/
ATOMIC_SPECIES
Cs 132.91 Cs.upf
Ge 72.64 Ge.upf
P 30.97 P.upf
ATOMIC_POSITIONS crystal
Cs 0.8534 0.0000 0.2441
Cs 0.8534 0.5000 0.7441
Ge 0.4209 0.0000 0.4343
Ge 0.4209 0.5000 0.9343
P 0.2553 0.0000 0.7125
P 0.2553 0.5000 0.2125
CELL_PARAMETERS angstrom
-4.4196 -5.5328 1.2015
1.5575 -0.4766 3.5341
-3.0461 5.6198 2.1003
! Offset from the most stable computed form: 66.1 meV/atom
! ΔH_f (0 K): -0.193 eV/atom

---

! BaNa2UF8, relaxed, DFT PBE; values from VASP
&SYSTEM
  ibrav = 0, nat = 12, ntyp = 4
/
ATOMIC_SPECIES
Ba 137.33 Ba.upf
Na 22.99 Na.upf
U 238.03 U.upf
F 19.00 F.upf
ATOMIC_POSITIONS crystal
Ba 0.7500 0.2500 0.5000
Na 0.5000 0.5000 0.0000
Na 0.2500 0.7500 0.5000
U 0.0000 0.0000 0.0000
F 0.8004 0.8594 0.1634
F 0.3630 0.3040 0.1634
F 0.6401 0.6919 0.7117
F 0.0717 0.0198 0.7117
F 0.9802 0.3599 0.2883
F 0.3081 0.9283 0.2883
F 0.1406 0.6370 0.8366
F 0.6960 0.1996 0.8366
CELL_PARAMETERS angstrom
-4.9972 -0.4270 -2.9372
-1.5320 -4.5553 3.2686
0.6660 6.1551 3.7227
! Energy relative to the elements, uncorrected: -78.86 kcal/mol of atoms

---

! Li3HgBi, relaxed, DFT PBE; values from VASP
&SYSTEM
  ibrav = 0, nat = 5, ntyp = 3
/
ATOMIC_SPECIES
Li 6.94 Li.upf
Bi 208.98 Bi.upf
Hg 200.59 Hg.upf
ATOMIC_POSITIONS crystal
Li 0.0000 0.5000 0.0000
Li 0.0000 0.0000 0.5000
Li 0.5000 0.0000 0.0000
Bi 0.0000 0.0000 0.0000
Hg 0.5000 0.5000 0.5000
CELL_PARAMETERS angstrom
5.3634 0.0000 0.0000
0.0000 5.3634 0.0000
0.0000 0.0000 5.3634
! Offset from the most stable computed form: 178.2 meV/atom
! ΔH_f (0 K): -0.249 eV/atom

---

! AlMoRu, relaxed, DFT PBE; values from VASP
&SYSTEM
  ibrav = 0, nat = 12, ntyp = 3
/
ATOMIC_SPECIES
Mo 95.94 Mo.upf
Ru 101.07 Ru.upf
Al 26.98 Al.upf
ATOMIC_POSITIONS crystal
Mo 0.7500 0.9887 0.1428
Mo 0.2500 0.4887 0.3572
Mo 0.2500 0.0113 0.8572
Mo 0.7500 0.5113 0.6428
Ru 0.7500 0.7178 0.3813
Ru 0.2500 0.2178 0.1187
Ru 0.2500 0.2822 0.6187
Ru 0.7500 0.7822 0.8813
Al 0.7500 0.4927 0.1143
Al 0.2500 0.9927 0.3857
Al 0.2500 0.5073 0.8857
Al 0.7500 0.0073 0.6143
CELL_PARAMETERS angstrom
-0.4721 3.5982 2.1118
-5.3284 0.6290 -2.2628
-3.2917 -4.2824 6.5609
! ΔH_f (0 K): -0.001 eV/atom

---

! MgZnMo2, relaxed, DFT PBE; values from VASP
&SYSTEM
  ibrav = 0, nat = 4, ntyp = 3
/
ATOMIC_SPECIES
Mg 24.30 Mg.upf
Mo 95.94 Mo.upf
Zn 65.41 Zn.upf
ATOMIC_POSITIONS crystal
Mg 0.0000 0.0000 0.0000
Mo 0.2500 0.2500 0.2500
Mo 0.7500 0.7500 0.7500
Zn 0.5000 0.5000 0.5000
CELL_PARAMETERS angstrom
0.0000 3.1608 3.1608
3.1608 0.0000 3.1608
3.1608 3.1608 0.0000
! Offset from the most stable computed form: 506.4 meV/atom
! ΔH_f (0 K): 0.633 eV/atom

---

| no. | total magnetic moment (μB/f.u.) |
| --- | --- |
| 1 | 2.4 |
| 2 | 0.0 |
| 3 | 2.0 |
| 4 | 0.0 |
| 5 | 0.0 |
| 6 | 0.0 |